Computed, not measured: HoThTcAg after structural relaxation at the GGA-PBE level of DFT.

Calculated values
**Electronic total energy**: -102.7 eV/cell
**Symmetry**: F-43m
**ΔH_f (0 K)**: -0.12 eV/atom

The structure in CIF format:
```
data_HoThTcAg
_cell_length_a 7.160
_cell_length_b 7.160
_cell_length_c 7.160
_cell_angle_alpha 90.00
_cell_angle_beta 90.00
_cell_angle_gamma 90.00
_space_group_name_H-M_alt 'P 1'
_space_group_IT_number 1
_space_group_name_Hall 'P 1'
loop_
_atom_site_label
_atom_site_fract_x
_atom_site_fract_y
_atom_site_fract_z
Ho1 0.000 0.000 0.000
Ho2 0.000 0.500 0.500
Ho3 0.500 0.000 0.500
Ho4 0.500 0.500 0.000
Th1 0.000 0.000 0.500
Th2 0.000 0.500 0.000
Th3 0.500 0.000 0.000
Th4 0.500 0.500 0.500
Tc1 0.250 0.250 0.250
Tc2 0.250 0.750 0.750
Tc3 0.750 0.250 0.750
Tc4 0.750 0.750 0.250
Ag1 0.250 0.250 0.750
Ag2 0.250 0.750 0.250
Ag3 0.750 0.250 0.250
Ag4 0.750 0.750 0.750
```